(1)
# GGA-PBE Sc3ZnH, optimized geometry
# Energy (eV/atom): -4.965
# Density (g/cm³): 3.90
# D(E_F) (states/eV/cell): 3.8
# Symmetry: Pm-3m, No. 221
data_Sc3ZnH
_cell_length_a 4.409
_cell_length_b 4.409
_cell_length_c 4.409
_cell_angle_alpha 90.00
_cell_angle_beta 90.00
_cell_angle_gamma 90.00
_symmetry_space_group_name_H-M 'P 1'
_symmetry_Int_Tables_number 1
loop_
_symmetry_equiv_pos_as_xyz
'x,y,z'
loop_
_atom_site_label
_atom_site_type_symbol
_atom_site_fract_x
_atom_site_fract_y
_atom_site_fract_z
Sc1 Sc 0.000 0.000 0.500
Sc2 Sc 0.000 0.500 0.000
Sc3 Sc 0.500 0.000 0.000
Zn1 Zn 0.500 0.500 0.500
H1 H 0.000 0.000 0.000

***

(2)
# GGA-PBE W4SeCl, optimized geometry
# Energy (eV/atom): -8.178
# Formation energy from raw total energies (eV/atom): 1.346
# Density (g/cm³): 12.69
# D(E_F) (states/eV/cell): 5.7
# Symmetry: F-43m, No. 216
data_W4SeCl
_cell_length_a 5.397
_cell_length_b 5.397
_cell_length_c 5.397
_cell_angle_alpha 60.00
_cell_angle_beta 60.00
_cell_angle_gamma 60.00
_symmetry_space_group_name_H-M 'P 1'
_symmetry_Int_Tables_number 1
loop_
_symmetry_equiv_pos_as_xyz
'x,y,z'
loop_
_atom_site_label
_atom_site_type_symbol
_atom_site_fract_x
_atom_site_fract_y
_atom_site_fract_z
W1 W 0.124 0.124 0.124
W2 W 0.124 0.124 0.627
W3 W 0.124 0.627 0.124
W4 W 0.627 0.124 0.124
Se1 Se 0.500 0.500 0.500
Cl1 Cl 0.750 0.750 0.750

***

(3)
# GGA-PBE LaGe3Ir, optimized geometry
# Energy (eV/atom): -6.257
# Density (g/cm³): 8.96
# D(E_F) (states/eV/cell): 3.0
# Symmetry: Cm, No. 8
data_LaGe3Ir
_cell_length_a 6.319
_cell_length_b 6.320
_cell_length_c 5.991
_cell_angle_alpha 90.00
_cell_angle_beta 121.71
_cell_angle_gamma 90.00
_symmetry_space_group_name_H-M 'P 1'
_symmetry_Int_Tables_number 1
loop_
_symmetry_equiv_pos_as_xyz
'x,y,z'
loop_
_atom_site_label
_atom_site_type_symbol
_atom_site_fract_x
_atom_site_fract_y
_atom_site_fract_z
La1 La 0.000 0.000 0.000
La2 La 0.500 0.500 0.000
Ge1 Ge 0.077 0.500 0.155
Ge2 Ge 0.486 0.250 0.472
Ge3 Ge 0.486 0.750 0.472
Ge4 Ge 0.577 0.000 0.155
Ge5 Ge 0.986 0.250 0.472
Ge6 Ge 0.986 0.750 0.472
Ir1 Ir 0.339 0.000 0.680
Ir2 Ir 0.839 0.500 0.680

***

(4)
# GGA-PBE LaMnMo2, optimized geometry
# Energy (eV/atom): -8.416
# Density (g/cm³): 7.79
# D(E_F) (states/eV/cell): 9.7
# Symmetry: Cm, No. 8
data_LaMnMo2
_cell_length_a 9.178
_cell_length_b 3.274
_cell_length_c 5.798
_cell_angle_alpha 90.00
_cell_angle_beta 109.24
_cell_angle_gamma 90.00
_symmetry_space_group_name_H-M 'P 1'
_symmetry_Int_Tables_number 1
loop_
_symmetry_equiv_pos_as_xyz
'x,y,z'
loop_
_atom_site_label
_atom_site_type_symbol
_atom_site_fract_x
_atom_site_fract_y
_atom_site_fract_z
La1 La 0.000 0.000 0.000
La2 La 0.500 0.500 0.000
Mn1 Mn 0.267 0.500 0.356
Mn2 Mn 0.767 0.000 0.356
Mo1 Mo 0.207 0.000 0.636
Mo2 Mo 0.482 0.000 0.478
Mo3 Mo 0.707 0.500 0.636
Mo4 Mo 0.982 0.500 0.478

***

Number 1: magnetization 1.8 μB per formula unit. Number 2: magnetization 0.0 μB per formula unit. Number 3: magnetization 0.0 μB per formula unit. Number 4: magnetization 1.4 μB per formula unit.